Record 1
DFT (SCAN) results for HgW2Br at its PBEsol-relaxed geometry.

Cell lengths 4.8047, 4.8047, 4.8047 Å; angles 125.42, 125.42, 80.84 degrees
Sites, in units of the cell vectors:
Hg 0.0000 0.0000 0.0000
W 0.5000 0.5000 0.0000
W 0.7500 0.2500 0.5000
Br 0.2500 0.7500 0.5000

Calculated values
The calculation puts the excess energy over the best structure of this formula in the dataset at 0.1276 eV per atom. As for the magnetization: 0.00 μB per formula unit. The value obtained for the formation energy from raw total energies is 1.511 eV per atom. The total energy is -55.239 eV per atom.

=====

Record 2
DFT (SCAN) results for HgWBr2 at its PBEsol-relaxed geometry.

Cell lengths 3.3087, 3.3087, 10.4215 Å; angles 90.00, 90.00, 124.66 degrees
Sites, in units of the cell vectors:
Hg 0.0000 0.0000 0.0000
W 0.0000 0.0000 0.5000
Br 0.5000 0.5000 0.3041
Br 0.5000 0.5000 0.6959

Calculated values
The calculation puts the excess energy over the best structure of this formula in the dataset at 0.1284 eV per atom. As for the magnetization: 1.15 μB per formula unit. The value obtained for the formation energy from raw total energies is 0.397 eV per atom. The total energy is -43.796 eV per atom.

=====

Record 3
DFT (SCAN) results for Hg3WBr at its PBEsol-relaxed geometry.

Cell lengths 5.3316, 5.3316, 5.3316 Å; angles 90.00, 90.00, 90.00 degrees
Sites, in units of the cell vectors:
Hg 0.0000 0.0000 0.5000
Hg 0.0000 0.5000 0.0000
Hg 0.5000 0.0000 0.0000
W 0.0000 0.0000 0.0000
Br 0.5000 0.5000 0.5000

Calculated values
As for the magnetization: 2.98 μB per formula unit. The value obtained for the formation energy from raw total energies is 0.828 eV per atom. The total energy is -57.901 eV per atom.

=====

Record 4
DFT (SCAN) results for HgW2Br at its PBEsol-relaxed geometry.

Cell lengths 2.8631, 2.8631, 8.4131 Å; angles 90.00, 90.00, 90.00 degrees
Sites, in units of the cell vectors:
Hg 0.0000 0.0000 0.0000
W 0.5000 0.5000 0.2560
W 0.5000 0.5000 0.7440
Br 0.0000 0.0000 0.5000

Calculated values
The calculation puts the excess energy over the best structure of this formula in the dataset at 0.1310 eV per atom. As for the magnetization: 0.00 μB per formula unit. The value obtained for the formation energy from raw total energies is 1.514 eV per atom. The total energy is -55.236 eV per atom.

=====

Record 5
DFT (SCAN) results for HgWBr at its PBEsol-relaxed geometry.

Cell lengths 4.4791, 4.4791, 4.4791 Å; angles 60.00, 60.00, 60.00 degrees
Sites, in units of the cell vectors:
Hg 0.0000 0.0000 0.0000
W 0.5000 0.5000 0.5000
Br 0.2500 0.2500 0.2500

Calculated values
The calculation puts the excess energy over the best structure of this formula in the dataset at 1.1830 eV per atom. As for the magnetization: 0.00 μB per formula unit. The value obtained for the formation energy from raw total energies is 2.116 eV per atom. The total energy is -50.321 eV per atom.

=====

Record 6
DFT (SCAN) results for HgWBr at its PBEsol-relaxed geometry.

Cell lengths 6.7735, 6.7735, 6.7735 Å; angles 154.00, 154.00, 37.09 degrees
Sites, in units of the cell vectors:
Hg 0.0000 0.0000 0.0000
W 0.6510 0.6510 0.0000
Br 0.2711 0.2711 0.0000

Calculated values
The calculation puts the excess energy over the best structure of this formula in the dataset at 0.0000 eV per atom. As for the magnetization: 0.00 μB per formula unit. The value obtained for the formation energy from raw total energies is 0.934 eV per atom. The total energy is -51.504 eV per atom.